BaPuIn2Cl8 | GGA-PBE | optimized geometry

Lattice parameters (Å, degrees): 6.9807 9.0392 7.0247 90.00 91.48 90.00
Last column: nearest neighbours and their distance in Å.
Sites, in units of the cell vectors:
Ba 0.0000 0.0000 0.0000  6 Cl 3.07-3.14
Pu 0.0000 0.5000 0.0000  6 Cl 2.58-2.67
In 0.5000 0.2493 0.5000  4 Cl 2.92-3.25
In 0.5000 0.7507 0.5000  4 Cl 2.92-3.25
Cl 0.1490 0.2831 0.7926  1 Pu 2.67
Cl 0.1490 0.7169 0.7926  1 Pu 2.67
Cl 0.2993 0.5000 0.2223  1 Pu 2.58
Cl 0.3413 0.0000 0.2837  2 In 2.92, 1 Ba 3.07
Cl 0.6587 0.0000 0.7163  2 In 2.92, 1 Ba 3.07
Cl 0.7007 0.5000 0.7777  1 Pu 2.58
Cl 0.8510 0.2831 0.2074  1 Pu 2.67
Cl 0.8510 0.7169 0.2074  1 Pu 2.67

Properties
DOS(E_F): 6.229 states/eV/cell
energy: -4.64 eV per atom
formation energy from raw total energies: -154.26 kJ per mole of atoms


LaTbAg2Se4 | GGA-PBE | optimized geometry

Lattice parameters (Å, degrees): 6.6440 6.6440 6.6440 116.01 115.14 97.85
Last column: nearest neighbours and their distance in Å.
Sites, in units of the cell vectors:
La 0.0000 0.0000 0.0000  4 Se 2.99
Tb 0.5000 0.5000 0.0000  4 Se 2.78
Ag 0.3369 0.8369 0.5000  4 Se 2.61-2.85, 1 Ag 2.85
Ag 0.6631 0.1631 0.5000  4 Se 2.61-2.85, 1 Ag 2.85
Se 0.0892 0.1095 0.5249  2 Ag 2.61-2.85, 1 Tb 2.78
Se 0.4154 0.8905 0.9797  2 Ag 2.61-2.85, 1 Tb 2.78
Se 0.5846 0.5643 0.4751  2 Ag 2.61-2.85, 1 Tb 2.78
Se 0.9108 0.4357 0.0203  2 Ag 2.61-2.85, 1 Tb 2.78

Properties
DOS(E_F): 0.159 states/eV/cell
energy: -4.75 eV per atom
formation energy from raw total energies: -106.57 kJ per mole of atoms


KZn2Re | GGA-PBE | optimized geometry

Lattice parameters (Å, degrees): 5.4802 5.4802 5.4802 137.36 137.36 61.88
Last column: nearest neighbours and their distance in Å.
Sites, in units of the cell vectors:
K 0.0000 0.0000 0.0000  8 Zn 2.82-3.08, 4 Re 3.08
Zn 0.5000 0.5000 0.0000  4 K 2.82, 4 Re 3.08, 4 Zn 3.08
Zn 0.7500 0.2500 0.5000  4 Re 2.82, 4 Zn 3.08, 4 K 3.08
Re 0.2500 0.7500 0.5000  8 Zn 2.82-3.08, 4 K 3.08

Properties
ΔH_f (0 K): 1218 meV per atom
offset from the most stable computed form: 282 kJ/mol of formula units
DOS(E_F): 4.041 states/eV/cell
energy: -2.81 eV per atom


Sr4Tl2Ag | GGA-PBE | optimized geometry

Lattice parameters (Å, degrees): 6.9777 6.9777 6.9777 108.39 108.39 111.66
Last column: nearest neighbours and their distance in Å.
Sites, in units of the cell vectors:
Sr 0.0000 0.0000 0.5000  4 Tl 3.49, 2 Ag 3.49
Sr 0.0000 0.5000 0.0000  4 Tl 3.49, 2 Ag 3.49
Sr 0.5000 0.0000 0.0000  4 Tl 3.49, 2 Ag 3.49
Sr 0.5000 0.5000 0.5000  4 Tl 3.49, 2 Ag 3.49
Tl 0.0000 0.5000 0.5000  8 Sr 3.49
Tl 0.5000 0.0000 0.5000  8 Sr 3.49
Ag 0.0000 0.0000 0.0000  8 Sr 3.49

Properties
ΔH_f (0 K): -282 meV per atom
DOS(E_F): 7.241 states/eV/cell
energy: -2.33 eV per atom